No. 1
Compound: Ba2AsIr
Source: Alexandria via LeMat-Bulk
Functional: PBE
Structure: relaxed

Geometry as extended XYZ:
```
4
Lattice="-2.336 2.336 5.291 2.336 -2.336 5.291 2.336 2.336 -5.291" Properties=species:S:1:pos:R:3 pbc="T T T"
Ba 0.000 0.000 0.000
Ba 0.000 2.336 2.646
As 0.000 0.000 5.291
Ir 2.336 0.000 2.646
```

Calculated values
SG ... I-4m2 (119)
N(E_F) ... 5.99 states/eV/f.u.
DFT formation energy ... 0.0019 eV/atom
Size of the total moment ... 0.524 μB/f.u.

***

No. 2
Compound: BaAsIr
Source: Alexandria via LeMat-Bulk
Functional: PBE
Structure: relaxed

Geometry as extended XYZ:
```
3
Lattice="0.000 3.426 3.426 3.426 0.000 3.426 3.426 3.426 0.000" Properties=species:S:1:pos:R:3 pbc="T T T"
Ba 0.000 0.000 0.000
As 3.426 3.426 3.426
Ir 1.713 1.713 1.713
```

Calculated values
SG ... F-43m (216)
N(E_F) ... 4.90 states/eV/f.u.
DFT formation energy ... 0.1416 eV/atom
Size of the total moment ... 0.001 μB/f.u.

***

No. 3
Compound: Ba2AsIr
Source: Alexandria via LeMat-Bulk
Functional: PBE
Structure: relaxed

Geometry as extended XYZ:
```
4
Lattice="3.684 0.000 0.000 0.000 3.684 0.000 0.000 0.000 9.478" Properties=species:S:1:pos:R:3 pbc="T T T"
Ba 0.000 0.000 0.000
Ba 1.842 1.842 4.090
As 1.842 1.842 7.182
Ir 0.000 0.000 6.468
```

Calculated values
SG ... P4mm (99)
N(E_F) ... 3.54 states/eV/f.u.
DFT formation energy ... -0.0842 eV/atom
Size of the total moment ... 0.000 μB/f.u.

***

No. 4
Compound: BaAs2Ir2
Source: Alexandria via LeMat-Bulk
Functional: PBE
Structure: relaxed

Geometry as extended XYZ:
```
10
Lattice="5.624 -3.494 0.000 5.624 3.494 0.000 -5.396 0.000 5.829" Properties=species:S:1:pos:R:3 pbc="T T T"
Ba 1.577 2.656 4.372
Ba 4.275 -2.656 1.457
As -1.416 0.976 5.327
As 1.282 -0.976 2.412
As 4.569 0.976 3.417
As 7.267 -0.976 0.503
Ir 2.809 0.743 1.707
Ir 0.111 -0.743 4.622
Ir 5.740 0.743 1.208
Ir 3.042 -0.743 4.122
```

Calculated values
SG ... C2/c (15)
N(E_F) ... 2.07 states/eV/f.u.
DFT formation energy ... -0.6118 eV/atom
Size of the total moment ... 0.000 μB/f.u.

***

No. 5
Compound: Ba2AsIr
Source: Alexandria via LeMat-Bulk
Functional: PBE
Structure: relaxed

Geometry as extended XYZ:
```
4
Lattice="3.576 0.000 0.000 0.000 5.529 0.000 0.000 0.000 6.528" Properties=species:S:1:pos:R:3 pbc="T T T"
Ba 0.000 0.000 0.000
Ba 1.788 2.765 3.264
As 0.000 0.000 3.264
Ir 1.788 2.765 0.000
```

Calculated values
SG ... Pmmm (47)
N(E_F) ... 6.78 states/eV/f.u.
DFT formation energy ... -0.0118 eV/atom
Size of the total moment ... 0.598 μB/f.u.

***

No. 6
Compound: Ba2AsIr
Source: Alexandria via LeMat-Bulk
Functional: PBE
Structure: relaxed

Geometry as extended XYZ:
```
8
Lattice="-4.372 4.372 3.237 4.372 -4.372 3.237 4.372 4.372 -3.237" Properties=species:S:1:pos:R:3 pbc="T T T"
Ba 2.186 1.818 -0.809
Ba 2.554 -2.186 4.046
Ba 2.186 2.554 2.428
Ba 1.818 6.558 0.809
As 4.372 0.000 1.618
As 0.000 0.000 3.237
Ir 0.000 0.000 0.000
Ir 0.000 4.372 1.618
```

Calculated values
SG ... I-42d (122)
N(E_F) ... 2.54 states/eV/f.u.
DFT formation energy ... 0.0032 eV/atom
Size of the total moment ... 0.000 μB/f.u.

***

What did the second record say?
Compound: BaAsIr
Source: Alexandria via LeMat-Bulk
Functional: PBE
Structure: relaxed

Geometry as extended XYZ:
```
3
Lattice="0.000 3.426 3.426 3.426 0.000 3.426 3.426 3.426 0.000" Properties=species:S:1:pos:R:3 pbc="T T T"
Ba 0.000 0.000 0.000
As 3.426 3.426 3.426
Ir 1.713 1.713 1.713
```

Calculated values
SG ... F-43m (216)
N(E_F) ... 4.90 states/eV/f.u.
DFT formation energy ... 0.1416 eV/atom
Size of the total moment ... 0.001 μB/f.u.

***

> Look up the size of the total moment of the fourth one.

0.000 μB/f.u.

***

Please write out number 5 again, unchanged.
Compound: Ba2AsIr
Source: Alexandria via LeMat-Bulk
Functional: PBE
Structure: relaxed

Geometry as extended XYZ:
```
4
Lattice="3.576 0.000 0.000 0.000 5.529 0.000 0.000 0.000 6.528" Properties=species:S:1:pos:R:3 pbc="T T T"
Ba 0.000 0.000 0.000
Ba 1.788 2.765 3.264
As 0.000 0.000 3.264
Ir 1.788 2.765 0.000
```

Calculated values
SG ... Pmmm (47)
N(E_F) ... 6.78 states/eV/f.u.
DFT formation energy ... -0.0118 eV/atom
Size of the total moment ... 0.598 μB/f.u.

***

> Which of these has the highest size of the total moment?

number 5